LiPmNdSb: relaxed, PBE.

- Magnetic moment: 0.00 μB/f.u.
- E_form (uncorrected): -0.5080 eV per atom
- Total DFT energy (no corrections): -4.397 eV per atom
- Mass density: 6.4 Mg/m³

abc: 7.5613 7.5613 7.5613
angles: 90.00 90.00 90.00
Closest atoms and distances in Å follow each position.
Space group F-43m (No. 216)
One atom of each set of equivalent atoms:
Li (0.0000, 0.0000, 0.0000) x4  4 Nd 3.27, 4 Pm 3.27
Pm (0.2500, 0.2500, 0.7500) x4  4 Li 3.27, 4 Sb 3.27
Nd (0.2500, 0.2500, 0.2500) x4  4 Li 3.27, 4 Sb 3.27
Sb (0.0000, 0.0000, 0.5000) x4  4 Nd 3.27, 4 Pm 3.27

LiPmNd2Se4: relaxed, PBE.

- Magnetic moment: 0.00 μB/f.u.
- E_form (uncorrected): -1.7661 eV per atom
- Total DFT energy (no corrections): -5.533 eV per atom
- Mass density: 6.1 Mg/m³

abc: 7.2295 4.1766 7.2306
angles: 90.00 109.41 90.00
Closest atoms and distances in Å follow each position.
Space group P2/m (No. 10)
One atom of each set of equivalent atoms:
Li (0.0000, 0.0000, 0.0000) x1  6 Se 2.87-2.89
Pm (0.5000, 0.5000, 0.0000) x1  6 Se 2.94
Nd (0.0000, 0.5000, 0.5000) x1  6 Se 2.96-2.97
Nd (0.5000, 0.0000, 0.5000) x1  6 Se 3.02-3.03
Se (0.2405, 0.5000, 0.2388) x2  2 Li 2.89, 1 Pm 2.94, 3 Nd 2.96-3.02
Se (0.2447, 0.0000, 0.7589) x2  1 Li 2.87, 2 Pm 2.94, 3 Nd 2.97-3.03

LiPm4Nd3Se8: relaxed, PBE.

- Magnetic moment: 0.00 μB/f.u.
- E_form (uncorrected): -1.7990 eV per atom
- Total DFT energy (no corrections): -5.742 eV per atom
- Mass density: 6.6 Mg/m³

abc: 8.3842 8.3842 20.5305
angles: 90.00 90.00 120.00
Closest atoms and distances in Å follow each position.
Space group R-3m (No. 166, hexagonal axes)
One atom of each set of equivalent atoms:
Li (0.0000, 0.0000, 0.0000) x3  6 Se 2.89
Pm (0.0000, 0.0000, 0.5000) x3  6 Se 3.04
Pm (0.0000, 0.5000, 0.5000) x9  6 Se 2.95
Nd (0.0000, 0.5000, 0.0000) x9  6 Se 2.98
Se (0.0000, 0.0000, 0.2490) x6  3 Pm 2.95, 3 Nd 2.98
Se (0.0098, 0.5049, 0.7485) x18  1 Li 2.89, 3 Pm 2.95-3.04, 2 Nd 2.98